No. 1
TmHfIn, relaxed, DFT PBE-GGA; space group = I4mm (107); polymorph energy (0 for the lowest one) = 2.3 kJ per mole of atoms
1.0
-1.1081 2.7415 1.6082
-1.5165 -1.9528 2.2840
6.6978 -0.3415 1.6748
Tm In Hf
1 1 1
Direct
0.9993 0.9993 0.9987
0.6722 0.6722 0.3444
0.3284 0.3284 0.6569

No. 2
PdPtSN2, relaxed, DFT PBE-GGA; space group = P4/mmm (123); formation energy from raw total energies = 1194 meV/atom; polymorph energy (0 for the lowest one) = 0.0 kJ per mole of atoms
1.0
3.6650 0.0000 0.0000
0.0000 3.6650 0.0000
0.0000 0.0000 7.7798
S Pd Pt N
1 1 1 2
Direct
0.0000 0.0000 0.5000
0.5000 0.5000 0.5000
0.0000 0.0000 0.0000
0.0000 0.5000 0.0000
0.5000 0.0000 0.0000

No. 3
HfIn3Re, relaxed, DFT PBE-GGA; space group = Pm-3m (221); polymorph energy (0 for the lowest one) = 0.0 kJ per mole of atoms
1.0
-1.8060 1.5624 -4.5537
1.4633 -4.4554 -2.1090
-4.5866 -2.0366 1.1202
Hf In Re
1 3 1
Direct
0.5000 0.5000 0.5000
0.0000 0.0000 0.5000
0.0000 0.5000 0.0000
0.5000 0.0000 0.0000
0.0000 0.0000 0.0000

No. 4
LaTmOs, relaxed, DFT PBE-GGA; space group = I4mm (107); polymorph energy (0 for the lowest one) = 0.0 kJ per mole of atoms
1.0
-3.0187 -1.5837 0.4147
0.6030 -0.2669 3.3701
-1.8040 6.9319 -0.8777
Tm Os La
1 1 1
Direct
0.2880 0.2880 0.5760
0.6726 0.6726 0.3452
0.0394 0.0394 0.0788

No. 5
EuHoAl2, relaxed, DFT PBE-GGA; space group = Fm-3m (225); polymorph energy (0 for the lowest one) = 3.3 kJ per mole of atoms
1.0
5.1910 0.0000 0.0000
2.5955 4.4955 0.0000
2.5955 1.4985 4.2384
Eu Ho Al
1 1 2
Direct
0.0000 0.0000 0.0000
0.5000 0.5000 0.5000
0.7500 0.7500 0.7500
0.2500 0.2500 0.2500